DFT (GGA+U) results for MoBr2F after structural relaxation.

## Properties
VASP energy (eV/atom): -4.03
Size of the total moment (μB/cell): 2.00
Space group: I-42d, No. 122
Energy relative to the lowest polymorph listed for this composition (meV/atom): 0
D(E_F) (states/eV/atom): 0.00

Cell: 9.785 9.785 7.232 Å, 47.43 47.43 90.00°
Positions (direct):
Mo  0.000  0.000  0.000
Mo  0.750  0.250  0.500
Br  0.778  0.125  0.250
Br  0.972  0.625  0.250
Br  0.375  0.222  0.750
Br  0.875  0.028  0.750
F  0.500  0.500  0.000
F  0.250  0.750  0.500